[1]
## CaMnW2 (GGA-PBEsol)

Data for an optimized crystal structure of CaMnW2.

Unit cell a=2.9699 b=4.6204 c=9.4742 alpha=90.00 beta=90.00 gamma=90.00
Fractional coordinates of all 8 atoms:
Ca1 0.0000 0.0000 0.0000
Ca2 0.5000 0.5000 0.5000
Mn1 0.0000 0.0000 0.5000
Mn2 0.5000 0.5000 0.0000
W1 0.0000 0.5000 0.2242
W2 0.0000 0.5000 0.7758
W3 0.5000 0.0000 0.2758
W4 0.5000 0.0000 0.7242

## Properties
DFT formation energy in meV/atom: 706.7
Energy above the lowest structure with this stoichiometry in eV/atom: 0.000
Symmetry: No. 71

[2]
## CaYMn2 (GGA-PBEsol)

Data for an optimized crystal structure of CaYMn2.

Unit cell a=3.5412 b=3.5412 c=7.0825 alpha=90.00 beta=90.00 gamma=90.00
Fractional coordinates of all 4 atoms:
Ca1 0.0000 0.0000 0.0000
Y1 0.0000 0.0000 0.5000
Mn1 0.5000 0.5000 0.2816
Mn2 0.5000 0.5000 0.7184

## Properties
DFT formation energy in meV/atom: 511.3
Symmetry: No. 123

[3]
## CaYMn2 (GGA-PBEsol)

Data for an optimized crystal structure of CaYMn2.

Unit cell a=9.4973 b=3.2001 c=6.3211 alpha=90.00 beta=101.06 gamma=90.00
Fractional coordinates of all 8 atoms:
Ca1 0.0000 0.0000 0.0000
Ca2 0.5000 0.5000 0.0000
Y1 0.0000 0.5000 0.5000
Y2 0.5000 0.0000 0.5000
Mn1 0.2495 0.0000 0.6746
Mn2 0.2505 0.5000 0.3254
Mn3 0.7505 0.0000 0.3254
Mn4 0.7495 0.5000 0.6746

## Properties
DFT formation energy in meV/atom: 713.0
Symmetry: No. 12